1.
Below is a relaxed Ac4LaTb crystal, with properties calculated at the GGA-PBE level.

The structure in extended XYZ format:
```
6
Lattice="0.000 5.077 5.077 5.077 0.000 5.077 5.077 5.077 0.000" Properties=species:S:1:pos:R:3 pbc="T T T"
Ac 1.262 1.262 1.262
Ac 3.815 3.815 1.262
Ac 3.815 1.262 3.815
Ac 1.262 3.815 3.815
La 5.077 5.077 5.077
Tb 7.615 7.615 7.615
```

## Properties
Excess energy over the best structure of this formula in the dataset in meV per atom: 241
Total DFT energy (no corrections) in eV for the cell shown: -24.05
Space-group type: F-43m, No. 216
E_form in kJ/mol of atoms: 31.3


2.
Below is a relaxed AcLa12Tb5 crystal, with properties calculated at the GGA-PBE level.

The structure in extended XYZ format:
```
18
Lattice="6.284 -8.739 0.000 6.284 8.739 0.000 -0.012 0.000 5.904" Properties=species:S:1:pos:R:3 pbc="T T T"
Ac 0.000 0.000 0.000
La 4.412 5.569 0.016
La 4.392 3.113 2.935
La 2.591 0.000 3.108
La 3.825 0.000 0.140
La 8.144 5.569 5.887
La 8.164 3.113 2.968
La 4.392 -3.113 2.935
La 4.412 -5.569 0.016
La 8.731 0.000 5.763
La 9.965 0.000 2.796
La 8.164 -3.113 2.968
La 8.144 -5.569 5.887
Tb 6.278 6.302 2.952
Tb 6.284 2.359 0.000
Tb 6.278 0.000 2.952
Tb 6.284 -2.359 0.000
Tb 6.278 -6.302 2.952
```

## Properties
Total DFT energy (no corrections) in eV for the cell shown: -85.04
Space-group type: C2/m, No. 12
E_form in kJ/mol of atoms: 7.2


3.
Below is a relaxed Ac2LaTb crystal, with properties calculated at the GGA-PBE level.

The structure in extended XYZ format:
```
4
Lattice="1.923 1.110 12.348 -1.923 1.110 12.348 0.000 -2.221 12.348" Properties=species:S:1:pos:R:3 pbc="T T T"
Ac 0.000 0.000 0.000
Ac 0.000 0.000 6.330
La 0.000 0.000 15.469
Tb 0.000 0.000 21.701
```

## Properties
Excess energy over the best structure of this formula in the dataset in meV per atom: 15
Total DFT energy (no corrections) in eV for the cell shown: -17.60
Space-group type: R3m, No. 160
E_form in kJ/mol of atoms: 4.2


4.
Below is a relaxed AcLa6Tb2 crystal, with properties calculated at the GGA-PBE level.

The structure in extended XYZ format:
```
9
Lattice="4.822 -9.101 0.000 4.822 9.101 0.000 0.000 0.000 3.757" Properties=species:S:1:pos:R:3 pbc="T T T"
Ac 0.000 0.000 0.000
La 3.144 2.995 0.000
La 3.180 0.000 1.879
La 3.144 -2.995 0.000
La 6.500 2.995 0.000
La 6.464 0.000 1.879
La 6.500 -2.995 0.000
Tb 4.822 5.753 1.879
Tb 4.822 -5.753 1.879
```

## Properties
Excess energy over the best structure of this formula in the dataset in meV per atom: 66
Total DFT energy (no corrections) in eV for the cell shown: -41.91
Space-group type: Cmmm, No. 65
E_form in kJ/mol of atoms: 11.0


5.
Below is a relaxed Ac4LaTb crystal, with properties calculated at the GGA-PBE level.

The structure in extended XYZ format:
```
6
Lattice="3.753 0.000 0.000 0.000 6.226 0.000 0.000 0.000 10.709" Properties=species:S:1:pos:R:3 pbc="T T T"
Ac 0.000 0.000 1.775
Ac 0.000 0.000 8.934
Ac 0.000 3.113 3.542
Ac 0.000 3.113 7.168
La 1.876 0.000 5.355
Tb 1.876 3.113 0.000
```

## Properties
Excess energy over the best structure of this formula in the dataset in meV per atom: 45
Total DFT energy (no corrections) in eV for the cell shown: -25.23
Space-group type: Pmmm, No. 47
E_form in kJ/mol of atoms: 12.3


6.
Below is a relaxed AcLa14Tb crystal, with properties calculated at the GGA-PBE level.

The structure in extended XYZ format:
```
16
Lattice="10.573 0.000 0.000 0.000 5.263 5.265 0.000 -5.263 5.265" Properties=species:S:1:pos:R:3 pbc="T T T"
Ac 0.000 0.000 0.000
La 0.000 2.630 7.894
La 0.000 -2.630 7.894
La 2.658 -2.590 5.262
La 2.658 2.590 5.262
La 2.656 0.000 7.853
La 2.660 0.000 2.670
La 5.286 2.632 7.894
La 5.286 -2.632 7.894
La 5.286 0.000 5.265
La 5.286 0.000 10.523
La 7.913 0.000 2.670
La 7.915 -2.590 5.262
La 7.915 2.590 5.262
La 7.917 0.000 7.853
Tb 0.000 0.000 5.259
```

## Properties
Total DFT energy (no corrections) in eV for the cell shown: -77.58
Space-group type: Amm2, No. 38
E_form in kJ/mol of atoms: 0.9


7.
Below is a relaxed Ac6LaTb2 crystal, with properties calculated at the GGA-PBE level.

The structure in extended XYZ format:
```
18
Lattice="7.810 0.000 0.000 0.023 9.681 0.000 1.983 2.417 9.833" Properties=species:S:1:pos:R:3 pbc="T T T"
Ac 1.000 3.955 3.174
Ac 0.993 10.077 1.720
Ac 0.998 6.508 0.202
Ac 2.980 7.289 3.495
Ac 4.899 2.055 8.141
Ac 4.911 8.143 6.702
Ac 4.905 3.955 3.131
Ac 4.917 10.043 1.692
Ac 6.836 4.809 6.338
Ac 8.818 5.591 9.631
Ac 8.823 2.021 8.114
Ac 8.816 8.143 6.660
La 4.921 5.562 9.645
La 4.895 6.536 0.188
Tb 2.960 4.763 6.394
Tb 2.951 1.257 4.931
Tb 6.864 10.842 4.902
Tb 6.856 7.335 3.440
```

## Properties
Total DFT energy (no corrections) in eV for the cell shown: -76.92
Space-group type: P-1, No. 2
E_form in kJ/mol of atoms: 4.0


8.
Below is a relaxed Ac3La3Tb2 crystal, with properties calculated at the GGA-PBE level.

The structure in extended XYZ format:
```
8
Lattice="6.214 0.000 0.000 0.000 6.272 0.000 0.000 0.000 7.874" Properties=species:S:1:pos:R:3 pbc="T T T"
Ac 0.000 0.000 0.000
Ac 0.000 0.000 3.937
Ac 3.107 3.136 0.000
La 0.000 3.136 2.264
La 0.000 3.136 5.610
La 3.107 3.136 3.937
Tb 3.107 0.000 1.984
Tb 3.107 0.000 5.891
```

## Properties
Total DFT energy (no corrections) in eV for the cell shown: -35.47
Space-group type: Pmmm, No. 47
E_form in kJ/mol of atoms: 10.9